K2ScU2S6: optimized geometry, PBE.

```
K2ScU2S6
1.0
-3.737 5.453 1.601
-1.099 -3.236 -5.880
-3.463 -5.191 4.808
K S Sc U
2 6 1 2
Direct
0.833 0.167 0.000
0.167 0.833 0.000
0.937 0.612 0.307
0.744 0.744 0.693
0.063 0.388 0.693
0.612 0.937 0.307
0.388 0.063 0.693
0.256 0.256 0.307
0.000 0.000 0.500
0.666 0.334 0.500
0.334 0.666 0.500
```

## Properties
formation energy from raw total energies = -1549 meV per atom
space group = No. 12
energy = -6.6276 eV per atom